A relaxed LaHo2Tm crystal, computed with PBE.

Symmetry = P4/mmm (123)
E = -18.41 eV per cell
Energy above the most stable polymorph in this dataset = 0.0281 eV per atom

a = 3.577 Å, b = 3.577 Å, c = 10.107 Å
α = 90.00°, β = 90.00°, γ = 90.00°
Positions (direct):
Tm  0.500  0.500  0.000
Ho  0.000  0.000  0.759
Ho  0.000  0.000  0.241
La  0.500  0.500  0.500